Version i
# ScMn2Tc, optimized geometry, DFT PBEsol
# Magnetic moment ... 3.225 Bohr magnetons per cell
data_ScMn2Tc
_chemical_formula_sum 'Sc2 Mn4 Tc2'
_symmetry_space_group_name_H-M 'I m m 2'
_symmetry_Int_Tables_number 44
_cell_length_a 2.950
_cell_length_b 4.316
_cell_length_c 8.516
_cell_angle_alpha 90.00
_cell_angle_beta 90.00
_cell_angle_gamma 90.00
loop_
_symmetry_equiv_pos_as_xyz
'x,y,z'
'-x,-y,z'
'-x,y,z'
'x,-y,z'
'x+1/2,y+1/2,z+1/2'
'-x+1/2,-y+1/2,z+1/2'
'-x+1/2,y+1/2,z+1/2'
'x+1/2,-y+1/2,z+1/2'
loop_
_atom_site_label
_atom_site_fract_x
_atom_site_fract_y
_atom_site_fract_z
Sc1 0.000 0.000 0.000
Mn1 0.000 0.000 0.501
Mn2 0.000 0.500 0.228
Tc1 0.000 0.500 0.771

=====

Version ii
# ScMn2Tc, optimized geometry, DFT PBEsol
# Magnetic moment ... 0.160 Bohr magnetons per cell
data_ScMn2Tc
_chemical_formula_sum 'Sc1 Mn2 Tc1'
_symmetry_space_group_name_H-M 'P m m m'
_symmetry_Int_Tables_number 47
_cell_length_a 3.099
_cell_length_b 4.187
_cell_length_c 4.331
_cell_angle_alpha 90.00
_cell_angle_beta 90.00
_cell_angle_gamma 90.00
loop_
_symmetry_equiv_pos_as_xyz
'x,y,z'
'-x,-y,-z'
'-x,-y,z'
'x,y,-z'
'x,-y,-z'
'-x,y,z'
'-x,y,-z'
'x,-y,z'
loop_
_atom_site_label
_atom_site_fract_x
_atom_site_fract_y
_atom_site_fract_z
Sc1 0.000 0.000 0.000
Mn1 0.000 0.500 0.500
Mn2 0.500 0.000 0.500
Tc1 0.500 0.500 0.000

=====

Name the least stable of them. version ii.

=====

Version i
# Zr2ScMn, optimized geometry, DFT PBEsol
# Magnetic moment ... 0.000 Bohr magnetons per cell
data_Zr2ScMn
_chemical_formula_sum 'Zr4 Sc2 Mn2'
_symmetry_space_group_name_H-M 'I m m m'
_symmetry_Int_Tables_number 71
_symmetry_space_group_name_Hall '-I 2 2'
_cell_length_a 3.263
_cell_length_b 4.944
_cell_length_c 9.408
_cell_angle_alpha 90.00
_cell_angle_beta 90.00
_cell_angle_gamma 90.00
loop_
_atom_site_label
_atom_site_fract_x
_atom_site_fract_y
_atom_site_fract_z
Zr1 0.000 0.000 0.204
Sc1 0.000 0.500 0.000
Mn1 0.000 0.500 0.500

=====

Version ii
# Zr2ScMn, optimized geometry, DFT PBEsol
# Magnetic moment ... 2.384 Bohr magnetons per cell
data_Zr2ScMn
_chemical_formula_sum 'Zr6 Sc3 Mn3'
_symmetry_space_group_name_H-M 'R -3 m'
_symmetry_Int_Tables_number 166
_symmetry_space_group_name_Hall '-R 3 2"'
_cell_length_a 3.1805
_cell_length_b 3.1805
_cell_length_c 26.8422
_cell_angle_alpha 90.00
_cell_angle_beta 90.00
_cell_angle_gamma 120.00
loop_
_atom_site_label
_atom_site_fract_x
_atom_site_fract_y
_atom_site_fract_z
Zr1 0.0000 0.0000 0.2345
Sc1 0.0000 0.0000 0.0000
Mn1 0.0000 0.0000 0.5000

=====

Name the least stable of them. version ii.

=====

Version i
# Zr2ScMn, optimized geometry, DFT PBEsol
# Magnetic moment ... 0.000 Bohr magnetons per cell
data_Zr2ScMn
_chemical_formula_sum 'Zr4 Sc2 Mn2'
_symmetry_space_group_name_H-M 'C 1 m 1'
_symmetry_Int_Tables_number 8
_cell_length_a 10.771
_cell_length_b 3.254
_cell_length_c 4.770
_cell_angle_alpha 90.00
_cell_angle_beta 115.92
_cell_angle_gamma 90.00
loop_
_symmetry_equiv_pos_as_xyz
'x,y,z'
'x,-y,z'
'x+1/2,y+1/2,z'
'x+1/2,-y+1/2,z'
loop_
_atom_site_label
_atom_site_fract_x
_atom_site_fract_y
_atom_site_fract_z
Zr1 0.000 0.000 0.000
Zr2 0.206 0.000 0.706
Sc1 0.292 0.500 0.295
Mn1 0.008 0.500 0.475

=====

Version ii
# Zr2ScMn, optimized geometry, DFT PBEsol
# Magnetic moment ... 4.610 Bohr magnetons per cell
data_Zr2ScMn
_chemical_formula_sum 'Zr8 Sc4 Mn4'
_symmetry_space_group_name_H-M 'F -4 3 m'
_symmetry_Int_Tables_number 216
_symmetry_space_group_name_Hall 'F -4 2 3'
_cell_length_a 6.735
_cell_length_b 6.735
_cell_length_c 6.735
_cell_angle_alpha 90.00
_cell_angle_beta 90.00
_cell_angle_gamma 90.00
loop_
_atom_site_label
_atom_site_fract_x
_atom_site_fract_y
_atom_site_fract_z
Zr1 0.000 0.000 0.000
Zr2 0.250 0.250 0.250
Sc1 0.000 0.000 0.500
Mn1 0.250 0.250 0.750

=====

Name the least stable of them. version ii.

=====

Version i
# SrMnSe2, optimized geometry, DFT PBEsol
# Magnetic moment ... 10.000 Bohr magnetons per cell
data_SrMnSe2
_chemical_formula_sum 'Sr2 Mn2 Se4'
_symmetry_space_group_name_H-M 'A m m 2'
_symmetry_Int_Tables_number 38
_cell_length_a 4.439
_cell_length_b 3.963
_cell_length_c 12.121
_cell_angle_alpha 90.00
_cell_angle_beta 90.00
_cell_angle_gamma 90.00
loop_
_symmetry_equiv_pos_as_xyz
'x,y,z'
'-x,-y,z'
'-x,y,z'
'x,-y,z'
'x,y+1/2,z+1/2'
'-x,-y+1/2,z+1/2'
'-x,y+1/2,z+1/2'
'x,-y+1/2,z+1/2'
loop_
_atom_site_label
_atom_site_fract_x
_atom_site_fract_y
_atom_site_fract_z
Sr1 0.000 0.000 0.000
Mn1 0.500 0.000 0.223
Se1 0.000 0.000 0.310
Se2 0.500 0.000 0.586

=====

Version ii
# SrMnSe2, optimized geometry, DFT PBEsol
# Magnetic moment ... 10.000 Bohr magnetons per cell
data_SrMnSe2
_chemical_formula_sum 'Sr2 Mn2 Se4'
_symmetry_space_group_name_H-M 'C 1 m 1'
_symmetry_Int_Tables_number 8
_cell_length_a 12.308
_cell_length_b 3.978
_cell_length_c 4.346
_cell_angle_alpha 90.00
_cell_angle_beta 90.54
_cell_angle_gamma 90.00
loop_
_symmetry_equiv_pos_as_xyz
'x,y,z'
'x,-y,z'
'x+1/2,y+1/2,z'
'x+1/2,-y+1/2,z'
loop_
_atom_site_label
_atom_site_fract_x
_atom_site_fract_y
_atom_site_fract_z
Sr1 0.000 0.000 0.000
Mn1 0.263 0.000 0.360
Se1 0.214 0.500 0.028
Se2 0.452 0.000 0.502

=====

Name the least stable of them. version ii.

=====

Version i
# TiMnSe2, optimized geometry, DFT PBEsol
# Magnetic moment ... 11.070 Bohr magnetons per cell
data_TiMnSe2
_chemical_formula_sum 'Ti4 Mn4 Se8'
_symmetry_space_group_name_H-M 'F m -3 m'
_symmetry_Int_Tables_number 225
_symmetry_space_group_name_Hall '-F 4 2 3'
_cell_length_a 6.320
_cell_length_b 6.320
_cell_length_c 6.320
_cell_angle_alpha 90.00
_cell_angle_beta 90.00
_cell_angle_gamma 90.00
loop_
_atom_site_label
_atom_site_fract_x
_atom_site_fract_y
_atom_site_fract_z
Ti1 0.000 0.000 0.000
Mn1 0.000 0.000 0.500
Se1 0.250 0.250 0.250

=====

Version ii
# TiMnSe2, optimized geometry, DFT PBEsol
# Magnetic moment ... 12.770 Bohr magnetons per cell
data_TiMnSe2
_chemical_formula_sum 'Ti3 Mn3 Se6'
_symmetry_space_group_name_H-M 'R -3 m'
_symmetry_Int_Tables_number 166
_symmetry_space_group_name_Hall '-R 3 2"'
_cell_length_a 3.4219
_cell_length_b 3.4219
_cell_length_c 23.9430
_cell_angle_alpha 90.00
_cell_angle_beta 90.00
_cell_angle_gamma 120.00
loop_
_atom_site_label
_atom_site_fract_x
_atom_site_fract_y
_atom_site_fract_z
Ti1 0.0000 0.0000 0.0000
Mn1 0.0000 0.0000 0.5000
Se1 0.0000 0.0000 0.3994

=====

Name the least stable of them. version ii.

=====

Version i
# MnWSe2, optimized geometry, DFT PBEsol
# Magnetic moment ... 16.953 Bohr magnetons per cell
data_MnWSe2
_chemical_formula_sum 'Mn4 W4 Se8'
_symmetry_space_group_name_H-M 'F m -3 m'
_symmetry_Int_Tables_number 225
_symmetry_space_group_name_Hall '-F 4 2 3'
_cell_length_a 6.267
_cell_length_b 6.267
_cell_length_c 6.267
_cell_angle_alpha 90.00
_cell_angle_beta 90.00
_cell_angle_gamma 90.00
loop_
_atom_site_label
_atom_site_fract_x
_atom_site_fract_y
_atom_site_fract_z
Mn1 0.000 0.000 0.000
W1 0.000 0.000 0.500
Se1 0.250 0.250 0.250

=====

Version ii
# MnWSe2, optimized geometry, DFT PBEsol
# Magnetic moment ... 6.238 Bohr magnetons per cell
data_MnWSe2
_chemical_formula_sum 'Mn2 W2 Se4'
_symmetry_space_group_name_H-M 'C 1 m 1'
_symmetry_Int_Tables_number 8
_cell_length_a 8.333
_cell_length_b 3.182
_cell_length_c 5.386
_cell_angle_alpha 90.00
_cell_angle_beta 100.72
_cell_angle_gamma 90.00
loop_
_symmetry_equiv_pos_as_xyz
'x,y,z'
'x,-y,z'
'x+1/2,y+1/2,z'
'x+1/2,-y+1/2,z'
loop_
_atom_site_label
_atom_site_fract_x
_atom_site_fract_y
_atom_site_fract_z
Mn1 0.000 0.000 0.000
W1 0.254 0.500 0.245
Se1 0.259 0.000 0.870
Se2 0.488 0.000 0.422

=====

Name the least stable of them. version i.

=====

Version i
# ZrMnSe, optimized geometry, DFT PBEsol
# Magnetic moment ... 3.987 Bohr magnetons per cell
data_ZrMnSe
_chemical_formula_sum 'Zr4 Mn4 Se4'
_symmetry_space_group_name_H-M 'F -4 3 m'
_symmetry_Int_Tables_number 216
_symmetry_space_group_name_Hall 'F -4 2 3'
_cell_length_a 5.833
_cell_length_b 5.833
_cell_length_c 5.833
_cell_angle_alpha 90.00
_cell_angle_beta 90.00
_cell_angle_gamma 90.00
loop_
_atom_site_label
_atom_site_fract_x
_atom_site_fract_y
_atom_site_fract_z
Zr1 0.000 0.000 0.000
Mn1 0.250 0.250 0.250
Se1 0.000 0.000 0.500

=====

Version ii
# ZrMnSe, optimized geometry, DFT PBEsol
# Magnetic moment ... 10.265 Bohr magnetons per cell
data_ZrMnSe
_chemical_formula_sum 'Zr4 Mn4 Se4'
_symmetry_space_group_name_H-M 'F -4 3 m'
_symmetry_Int_Tables_number 216
_symmetry_space_group_name_Hall 'F -4 2 3'
_cell_length_a 6.239
_cell_length_b 6.239
_cell_length_c 6.239
_cell_angle_alpha 90.00
_cell_angle_beta 90.00
_cell_angle_gamma 90.00
loop_
_atom_site_label
_atom_site_fract_x
_atom_site_fract_y
_atom_site_fract_z
Zr1 0.000 0.000 0.000
Mn1 0.250 0.250 0.750
Se1 0.250 0.250 0.250

=====

Name the least stable of them. version ii.

=====

Version i
# Mn2SiTe, optimized geometry, DFT PBEsol
# Magnetic moment ... 14.793 Bohr magnetons per cell
data_Mn2SiTe
_chemical_formula_sum 'Mn6 Si3 Te3'
_symmetry_space_group_name_H-M 'R -3 m'
_symmetry_Int_Tables_number 166
_symmetry_space_group_name_Hall '-R 3 2"'
_cell_length_a 3.6309
_cell_length_b 3.6309
_cell_length_c 17.1665
_cell_angle_alpha 90.00
_cell_angle_beta 90.00
_cell_angle_gamma 120.00
loop_
_atom_site_label
_atom_site_fract_x
_atom_site_fract_y
_atom_site_fract_z
Mn1 0.0000 0.0000 0.2250
Si1 0.0000 0.0000 0.5000
Te1 0.0000 0.0000 0.0000

=====

Version ii
# Mn2SiTe, optimized geometry, DFT PBEsol
# Magnetic moment ... 3.879 Bohr magnetons per cell
data_Mn2SiTe
_chemical_formula_sum 'Mn2 Si1 Te1'
_symmetry_space_group_name_H-M 'P 4 m m'
_symmetry_Int_Tables_number 99
_cell_length_a 3.268
_cell_length_b 3.268
_cell_length_c 5.457
_cell_angle_alpha 90.00
_cell_angle_beta 90.00
_cell_angle_gamma 90.00
loop_
_symmetry_equiv_pos_as_xyz
'x,y,z'
'-y,x,z'
'-x,-y,z'
'y,-x,z'
'-x,y,z'
'y,x,z'
'x,-y,z'
'-y,-x,z'
loop_
_atom_site_label
_atom_site_fract_x
_atom_site_fract_y
_atom_site_fract_z
Mn1 0.000 0.000 0.000
Mn2 0.500 0.500 0.298
Si1 0.000 0.000 0.428
Te1 0.500 0.500 0.794

=====

Name the least stable of them. version i.